1.
A relaxed structure of RbCd2ClF4, computed with PBE.

POSCAR file:
```
RbCd2ClF4
1.0
4.016 0.000 0.000
0.000 4.016 0.000
0.000 0.000 9.605
Rb Cd Cl F
1 2 1 4
Direct
0.000 0.000 0.000
0.500 0.500 0.306
0.500 0.500 0.694
0.000 0.000 0.500
0.000 0.500 0.208
0.500 0.000 0.792
0.500 0.000 0.208
0.000 0.500 0.792
```

raw total energy: -3.479 eV/atom
formation energy from raw total energies: -189.3 kJ per mole of atoms


2.
A relaxed structure of Rb2CdCl3F, computed with PBE.

POSCAR file:
```
Rb2CdCl3F
1.0
4.560 0.000 0.000
0.000 5.278 0.000
-2.280 -2.639 8.394
Rb Cd Cl F
2 1 3 1
Direct
0.643 0.643 0.287
0.357 0.357 0.713
0.000 0.000 0.000
0.000 0.500 0.000
0.158 0.158 0.315
0.842 0.842 0.685
0.500 0.000 0.000
```

raw total energy: -3.302 eV/atom
formation energy from raw total energies: -177.1 kJ per mole of atoms


3.
A relaxed structure of Cd3RhCl2F6, computed with PBE.

POSCAR file:
```
Cd3RhCl2F6
1.0
-4.690 -2.140 -0.866
2.944 -6.156 -0.730
-2.718 1.800 6.116
Cd Rh Cl F
3 1 2 6
Direct
0.000 0.500 0.000
0.500 0.500 0.500
0.500 0.000 0.500
0.500 0.000 0.000
0.171 0.694 0.387
0.829 0.306 0.613
0.713 0.328 0.144
0.287 0.672 0.856
0.682 0.842 0.684
0.318 0.158 0.316
0.287 0.184 0.856
0.713 0.816 0.144
```

raw total energy: -3.645 eV/atom
formation energy from raw total energies: -150.5 kJ per mole of atoms


4.
A relaxed structure of CdSCl2F, computed with PBE.

POSCAR file:
```
CdSCl2F
1.0
-1.496 -4.234 0.990
-0.746 -0.959 -5.231
4.301 -1.595 -0.321
S Cl F Cd
1 2 1 1
Direct
0.000 0.000 0.000
0.000 0.000 0.500
0.500 0.000 0.000
0.500 0.500 0.500
0.000 0.500 0.000
```

raw total energy: -2.332 eV/atom
formation energy from raw total energies: -20.3 kJ per mole of atoms


5.
A relaxed structure of CdSCl2F, computed with PBE.

POSCAR file:
```
CdSCl2F
1.0
-1.568 -1.565 4.988
3.786 -3.931 -0.043
2.417 2.312 1.485
S Cl F Cd
1 2 1 1
Direct
0.000 0.000 0.500
0.000 0.500 0.000
0.500 0.000 0.000
0.000 0.000 0.000
0.500 0.500 0.500
```

raw total energy: -2.094 eV/atom
formation energy from raw total energies: 2.6 kJ per mole of atoms


6.
A relaxed structure of CdSCl2F, computed with PBE.

POSCAR file:
```
CdSCl2F
1.0
-1.616 4.280 -2.206
-0.368 -2.430 -4.445
-5.242 -1.370 1.182
S Cl F Cd
1 2 1 1
Direct
0.000 0.000 0.500
0.000 0.500 0.000
0.500 0.000 0.000
0.500 0.500 0.500
0.000 0.000 0.000
```

raw total energy: -2.033 eV/atom
formation energy from raw total energies: 8.5 kJ per mole of atoms


Question: Which value of raw total energy does entry 4 give?
Answer: -2.332 eV/atom


Repeat the first record exactly.
A relaxed structure of RbCd2ClF4, computed with PBE.

POSCAR file:
```
RbCd2ClF4
1.0
4.016 0.000 0.000
0.000 4.016 0.000
0.000 0.000 9.605
Rb Cd Cl F
1 2 1 4
Direct
0.000 0.000 0.000
0.500 0.500 0.306
0.500 0.500 0.694
0.000 0.000 0.500
0.000 0.500 0.208
0.500 0.000 0.792
0.500 0.000 0.208
0.000 0.500 0.792
```

raw total energy: -3.479 eV/atom
formation energy from raw total energies: -189.3 kJ per mole of atoms


Question: Look up the raw total energy of the second one.
Answer: -3.302 eV/atom


Question: What is the formula in the fourth record?
Answer: CdSCl2F